Arrangement w

The following is a PBE-GGA calculation of crystalline KNaPb2 at its relaxed geometry, from Alexandria via LeMat-Bulk. Values from VASP.

Results
crystal system = trigonal
calculated volume = 33.015 Å³ per atom
space group = R3m, No. 160

```
&SYSTEM
  ibrav = 0, nat = 4, ntyp = 3
/
ATOMIC_SPECIES
K 39.10 K.upf
Pb 207.20 Pb.upf
Na 22.99 Na.upf
CELL_PARAMETERS angstrom
-2.743 1.765 -1.615
-3.443 -0.826 0.843
-1.909 8.213 8.116
ATOMIC_POSITIONS crystal
K 0.500 0.500 0.500
Pb 0.256 0.256 0.233
Pb 0.078 0.078 0.767
Na 0.667 0.667 0.000
```

=====

Arrangement x

The following is a PBE-GGA calculation of crystalline KNaPb2 at its relaxed geometry, from Alexandria via LeMat-Bulk. Values from VASP.

Results
crystal system = tetragonal
calculated volume = 32.554 Å³ per atom
space group = P4/mmm, No. 123

```
&SYSTEM
  ibrav = 0, nat = 4, ntyp = 3
/
ATOMIC_SPECIES
K 39.10 K.upf
Pb 207.20 Pb.upf
Na 22.99 Na.upf
CELL_PARAMETERS angstrom
-5.144 1.672 0.547
-1.479 -4.655 0.320
0.566 0.154 4.859
ATOMIC_POSITIONS crystal
K 0.500 0.500 0.500
Pb 0.000 0.000 0.500
Pb 0.000 0.500 0.000
Na 0.500 0.000 0.000
```

=====

Arrangement y

The following is a PBE-GGA calculation of crystalline KNaPb2 at its relaxed geometry, from Alexandria via LeMat-Bulk. Values from VASP.

Results
crystal system = orthorhombic
calculated volume = 40.415 Å³ per atom
space group = Cmcm, No. 63

```
&SYSTEM
  ibrav = 0, nat = 8, ntyp = 3
/
ATOMIC_SPECIES
Na 22.99 Na.upf
K 39.10 K.upf
Pb 207.20 Pb.upf
CELL_PARAMETERS angstrom
-2.598 -2.261 -4.604
6.764 0.989 -0.711
1.546 -8.280 3.194
ATOMIC_POSITIONS crystal
Na 0.861 0.721 0.250
Na 0.139 0.279 0.750
K 0.436 0.872 0.750
K 0.564 0.128 0.250
Pb 0.274 0.548 0.421
Pb 0.726 0.452 0.921
Pb 0.274 0.548 0.079
Pb 0.726 0.452 0.579
```

=====

How far above the most stable structure does each one sit? In meV/atom: arrangement w 69; arrangement x 36; arrangement y 0.